# 1
VASP calculation (PBE) on crystalline RbYTl2 at its relaxed geometry.

## Properties
- Final energy: -3.074 eV/atom
- Symmetry: No. 166
- Crystal system: trigonal
- M_tot: 0.00 Bohr magnetons per cell
- Offset from the most stable computed form: 0.1567 eV/atom
- ΔH_f (0 K): -3 kJ per mole of atoms

abc: 3.806 3.806 11.295
angles: 80.30 80.30 60.00
Fractional coordinates of all 4 atoms:
Y1 0.000 0.000 0.000
Tl1 0.741 0.741 0.778
Tl2 0.259 0.259 0.222
Rb1 0.500 0.500 0.500



# 2
VASP calculation (PBE) on crystalline RbY3Tl at its relaxed geometry.

## Properties
- Final energy: -4.119 eV/atom
- Symmetry: No. 221
- Crystal system: cubic
- M_tot: 0.01 Bohr magnetons per cell
- Offset from the most stable computed form: 0.0000 eV/atom
- ΔH_f (0 K): 41 kJ per mole of atoms

abc: 5.948 5.948 5.948
angles: 90.00 90.00 90.00
Fractional coordinates of all 5 atoms:
Y1 0.000 0.500 0.000
Y2 0.000 0.000 0.500
Y3 0.500 0.000 0.000
Tl1 0.000 0.000 0.000
Rb1 0.500 0.500 0.500



# 3
VASP calculation (PBE) on crystalline RbYTl3 at its relaxed geometry.

## Properties
- Final energy: -2.045 eV/atom
- Symmetry: No. 221
- Crystal system: cubic
- M_tot: 0.00 Bohr magnetons per cell
- Offset from the most stable computed form: 0.7030 eV/atom
- ΔH_f (0 K): 83 kJ per mole of atoms

abc: 5.978 5.978 5.978
angles: 90.00 90.00 90.00
Fractional coordinates of all 5 atoms:
Y1 0.500 0.500 0.500
Tl1 0.000 0.500 0.000
Tl2 0.000 0.000 0.500
Tl3 0.500 0.000 0.000
Rb1 0.000 0.000 0.000



# 4
VASP calculation (PBE) on crystalline RbYTl2 at its relaxed geometry.

## Properties
- Final energy: -2.817 eV/atom
- Symmetry: No. 122
- Crystal system: tetragonal
- M_tot: 0.00 Bohr magnetons per cell
- Offset from the most stable computed form: 0.4140 eV/atom
- ΔH_f (0 K): 22 kJ per mole of atoms

abc: 9.040 9.040 7.452
angles: 52.66 52.66 90.00
Fractional coordinates of all 8 atoms:
Y1 0.000 0.000 0.000
Y2 0.750 0.250 0.500
Tl1 0.671 0.125 0.250
Tl2 0.079 0.625 0.250
Tl3 0.375 0.329 0.750
Tl4 0.875 0.921 0.750
Rb1 0.500 0.500 0.000
Rb2 0.250 0.750 0.500



# 5
VASP calculation (PBE) on crystalline RbYTl3 at its relaxed geometry.

## Properties
- Final energy: -2.748 eV/atom
- Symmetry: No. 221
- Crystal system: cubic
- M_tot: 0.17 Bohr magnetons per cell
- Offset from the most stable computed form: 0.0000 eV/atom
- ΔH_f (0 K): 15 kJ per mole of atoms

abc: 6.054 6.054 6.054
angles: 90.00 90.00 90.00
Site moments in Bohr magnetons follow the coordinates.
Fractional coordinates of all 5 atoms:
Y1 0.000 0.000 0.000  0.07
Tl1 0.000 0.500 0.000  0.02
Tl2 0.000 0.000 0.500  0.00
Tl3 0.500 0.000 0.000  0.01
Rb1 0.500 0.500 0.500  0.00



# 6
VASP calculation (PBE) on crystalline Rb2YTl2 at its relaxed geometry.

## Properties
- Final energy: -2.482 eV/atom
- Symmetry: No. 127
- Crystal system: tetragonal
- M_tot: 0.00 Bohr magnetons per cell
- ΔH_f (0 K): 14 kJ per mole of atoms

abc: 8.186 8.186 6.465
angles: 90.00 90.00 90.00
Fractional coordinates of all 10 atoms:
Y1 0.000 0.000 0.000
Y2 0.500 0.500 0.000
Tl1 0.363 0.863 0.000
Tl2 0.863 0.637 0.000
Tl3 0.637 0.137 0.000
Tl4 0.137 0.363 0.000
Rb1 0.175 0.675 0.500
Rb2 0.675 0.825 0.500
Rb3 0.825 0.325 0.500
Rb4 0.325 0.175 0.500



# 7
VASP calculation (PBE) on crystalline RbY3Tl at its relaxed geometry.

## Properties
- Final energy: -3.310 eV/atom
- Symmetry: No. 221
- Crystal system: cubic
- M_tot: 0.00 Bohr magnetons per cell
- Offset from the most stable computed form: 0.8098 eV/atom
- ΔH_f (0 K): 119 kJ per mole of atoms

abc: 5.553 5.553 5.553
angles: 90.00 90.00 90.00
Fractional coordinates of all 5 atoms:
Y1 0.000 0.500 0.000
Y2 0.000 0.000 0.500
Y3 0.500 0.000 0.000
Tl1 0.500 0.500 0.500
Rb1 0.000 0.000 0.000



# 8
VASP calculation (PBE) on crystalline RbYTl2 at its relaxed geometry.

## Properties
- Final energy: -3.008 eV/atom
- Symmetry: No. 225
- Crystal system: cubic
- M_tot: 0.00 Bohr magnetons per cell
- Offset from the most stable computed form: 0.2226 eV/atom
- ΔH_f (0 K): 3 kJ per mole of atoms

abc: 5.735 5.735 5.735
angles: 60.00 60.00 60.00
Fractional coordinates of all 4 atoms:
Y1 0.500 0.500 0.500
Tl1 0.250 0.250 0.250
Tl2 0.750 0.750 0.750
Rb1 0.000 0.000 0.000



# 9
VASP calculation (PBE) on crystalline RbYTl at its relaxed geometry.

## Properties
- Final energy: -3.376 eV/atom
- Symmetry: No. 139
- Crystal system: tetragonal
- M_tot: 0.84 Bohr magnetons per cell
- ΔH_f (0 K): -11 kJ per mole of atoms

abc: 4.089 4.089 15.280
angles: 97.69 97.69 90.00
Site moments in Bohr magnetons follow the coordinates.
Fractional coordinates of all 6 atoms:
Y1 0.287 0.287 0.574  0.19
Y2 0.713 0.713 0.426  0.19
Tl1 0.166 0.166 0.333  -0.01
Tl2 0.834 0.834 0.667  -0.01
Rb1 0.579 0.579 0.157  0.00
Rb2 0.421 0.421 0.843  0.00



# 10
VASP calculation (PBE) on crystalline RbY4Tl5 at its relaxed geometry.

## Properties
- Final energy: -4.168 eV/atom
- Symmetry: No. 123
- Crystal system: tetragonal
- M_tot: 0.00 Bohr magnetons per cell
- ΔH_f (0 K): -29 kJ per mole of atoms

abc: 3.850 3.850 20.236
angles: 90.00 90.00 90.00
Fractional coordinates of all 10 atoms:
Rb1 0.000 0.000 0.000
Y1 0.000 0.000 0.220
Y2 0.000 0.000 0.406
Y3 0.000 0.000 0.594
Y4 0.000 0.000 0.780
Tl1 0.500 0.500 0.135
Tl2 0.500 0.500 0.314
Tl3 0.500 0.500 0.500
Tl4 0.500 0.500 0.686
Tl5 0.500 0.500 0.865



# 11
VASP calculation (PBE) on crystalline RbTl3Zn at its relaxed geometry.

## Properties
- Final energy: -1.863 eV/atom
- Symmetry: No. 40
- Crystal system: orthorhombic
- M_tot: 0.00 Bohr magnetons per cell
- Offset from the most stable computed form: 0.0238 eV/atom
- ΔH_f (0 K): 1 kJ per mole of atoms

abc: 6.851 6.845 6.849
angles: 89.99 90.01 93.95
Fractional coordinates of all 10 atoms:
Rb1 0.388 0.332 0.701
Rb2 0.070 0.014 0.201
Tl1 0.311 0.525 0.201
Tl2 0.544 0.858 0.951
Tl3 0.876 0.526 0.451
Tl4 0.877 0.091 0.701
Tl5 0.876 0.526 0.951
Tl6 0.544 0.858 0.451
Zn1 0.160 0.793 0.701
Zn2 0.609 0.241 0.201



# 12
VASP calculation (PBE) on crystalline Rb5Tl6Zn at its relaxed geometry.

## Properties
- Final energy: -1.734 eV/atom
- Symmetry: No. 12
- Crystal system: monoclinic
- M_tot: 0.00 Bohr magnetons per cell
- ΔH_f (0 K): -4 kJ per mole of atoms

abc: 9.540 7.714 9.270
angles: 65.41 79.19 63.20
Fractional coordinates of all 12 atoms:
Tl1 0.693 0.957 0.000
Tl2 0.819 0.957 0.290
Tl3 0.181 0.753 0.290
Tl4 0.181 0.043 0.710
Tl5 0.819 0.247 0.710
Tl6 0.307 0.043 0.000
Zn1 0.000 0.000 0.000
Rb1 0.500 0.213 0.574
Rb2 0.000 0.640 0.720
Rb3 0.000 0.360 0.280
Rb4 0.500 0.500 0.000
Rb5 0.500 0.787 0.426



# 13
VASP calculation (PBE) on crystalline Rb3TlZn at its relaxed geometry.

## Properties
- Final energy: -1.072 eV/atom
- Symmetry: No. 221
- Crystal system: cubic
- M_tot: 0.00 Bohr magnetons per cell
- Offset from the most stable computed form: 0.0000 eV/atom
- ΔH_f (0 K): 23 kJ per mole of atoms

abc: 6.776 6.776 6.776
angles: 90.00 90.00 90.00
Fractional coordinates of all 5 atoms:
Tl1 0.500 0.500 0.500
Zn1 0.000 0.000 0.000
Rb1 0.000 0.500 0.000
Rb2 0.000 0.000 0.500
Rb3 0.500 0.000 0.000